No. 1
NdHoTe2O | PBE | optimized geometry

Cell: 4.211 4.211 15.730 Å, 90.00 90.00 90.00°
Space group P4/nmm (No. 129, origin choice 2)
Asymmetric unit:
Nd (0.250, 0.250, 0.071)
Ho (0.250, 0.250, 0.628)
Te (0.250, 0.250, 0.415)
Te (0.250, 0.250, 0.809)
O (0.250, 0.750, 0.000)

Total magnetization: 0.000 Bohr magnetons per cell
Uncorrected energy: -6.17 eV per atom

---

No. 2
Nd4Ho2Tl3O2 | PBE | optimized geometry

Cell: 4.842 4.842 25.216 Å, 90.00 90.00 90.00°
Space group I4/mmm (No. 139)
Asymmetric unit:
Nd (0.000, 0.500, 0.087)
Ho (0.000, 0.000, 0.197)
Tl (0.000, 0.000, 0.321)
Tl (0.000, 0.000, 0.500)
O (0.000, 0.000, 0.108)

Total magnetization: 0.000 Bohr magnetons per cell
Uncorrected energy: -5.29 eV per atom

---

Question: The highest uncorrected energy belongs to which entry?
Answer: Nd4Ho2Tl3O2